Density functional theory data (PBE) for crystalline HgIrOs2 at its relaxed geometry.

Values from the calculation:
Space group = Cm
V = 126.91 Å³ per cell
Calculated formation energy = 0.6170 eV/atom

Unit cell a=9.2638 b=2.7938 c=4.9707 alpha=90.00 beta=99.44 gamma=90.00
Closest atoms and distances in Å follow each position.
Sites, in units of the cell vectors:
Hg (0.0000, 0.0000, 0.0000)  3 Ir 2.74-2.88, 2 Hg 2.79, 7 Os 2.81-2.97
Hg (0.5000, 0.5000, 0.0000)  3 Ir 2.74-2.88, 2 Hg 2.79, 7 Os 2.81-2.97
Ir (0.2411, 0.0000, 0.7466)  5 Os 2.67-2.90, 3 Hg 2.74-2.88, 2 Ir 2.79
Ir (0.7411, 0.5000, 0.7466)  5 Os 2.67-2.90, 3 Hg 2.74-2.88, 2 Ir 2.79
Os (0.0005, 0.5000, 0.4910)  5 Os 2.66-2.79, 3 Ir 2.76-2.90, 4 Hg 2.81-2.89
Os (0.2616, 0.5000, 0.2976)  5 Os 2.66-2.79, 2 Ir 2.67, 3 Hg 2.85-2.97
Os (0.5005, 0.0000, 0.4910)  5 Os 2.66-2.79, 3 Ir 2.76-2.90, 4 Hg 2.81-2.89
Os (0.7616, 0.0000, 0.2976)  5 Os 2.66-2.79, 2 Ir 2.67, 3 Hg 2.85-2.97

Density functional theory data (PBE) for crystalline HgIrOs2 at its relaxed geometry.

Values from the calculation:
Space group = I4/mmm
V = 125.75 Å³ per cell
Calculated formation energy = 0.7918 eV/atom

Unit cell a=3.9187 b=3.9187 c=8.1887 alpha=90.00 beta=90.00 gamma=90.00
Closest atoms and distances in Å follow each position.
Sites, in units of the cell vectors:
Hg (0.0000, 0.0000, 0.0000)  4 Ir 2.77, 8 Os 2.83
Hg (0.5000, 0.5000, 0.5000)  4 Ir 2.77, 8 Os 2.83
Ir (0.0000, 0.0000, 0.5000)  4 Hg 2.77, 8 Os 2.83
Ir (0.5000, 0.5000, 0.0000)  4 Hg 2.77, 8 Os 2.83
Os (0.0000, 0.5000, 0.2500)  4 Os 2.77, 4 Hg 2.83, 4 Ir 2.83
Os (0.0000, 0.5000, 0.7500)  4 Os 2.77, 4 Hg 2.83, 4 Ir 2.83
Os (0.5000, 0.0000, 0.2500)  4 Os 2.77, 4 Hg 2.83, 4 Ir 2.83
Os (0.5000, 0.0000, 0.7500)  4 Os 2.77, 4 Hg 2.83, 4 Ir 2.83

Density functional theory data (PBE) for crystalline Re2HgIrOs at its relaxed geometry.

Values from the calculation:
Space group = P4/mmm
V = 108.93 Å³ per cell
Calculated formation energy = 2.3648 eV/atom

Unit cell a=4.6736 b=4.6736 c=4.9869 alpha=90.00 beta=90.00 gamma=90.00
Closest atoms and distances in Å follow each position.
Sites, in units of the cell vectors:
Re (0.0000, 0.5000, 0.0000)  2 Os 2.34
Re (0.5000, 0.0000, 0.0000)  2 Os 2.34
Hg (0.0000, 0.0000, 0.5000)  2 Os 2.49
Ir (0.5000, 0.5000, 0.5000)  4 Hg 3.30, 8 Re 3.42
Os (0.0000, 0.0000, 0.0000)  4 Re 2.34, 2 Hg 2.49

Density functional theory data (PBE) for crystalline Hg2IrOsSe at its relaxed geometry.

Values from the calculation:
Space group = P4/mmm
V = 115.94 Å³ per cell
Raw formation energy = 9.00 eV/f.u.

Unit cell a=5.0856 b=5.0856 c=4.4828 alpha=90.00 beta=90.00 gamma=90.00
Closest atoms and distances in Å follow each position.
Sites, in units of the cell vectors:
Hg (0.0000, 0.5000, 0.0000)  2 Se 2.54
Hg (0.5000, 0.0000, 0.0000)  2 Se 2.54
Ir (0.0000, 0.0000, 0.5000)  8 Hg 3.39, 4 Os 3.60
Os (0.5000, 0.5000, 0.5000)  2 Se 2.24
Se (0.5000, 0.5000, 0.0000)  2 Os 2.24

Density functional theory data (PBE) for crystalline Th6Hg3Ir2Os at its relaxed geometry.

Values from the calculation:
Space group = C2/m
V = 350.00 Å³ per cell
Calculated formation energy = -0.5228 eV/atom

Unit cell a=10.1180 b=10.1180 c=9.2583 alpha=111.80 beta=111.80 gamma=23.52
Closest atoms and distances in Å follow each position.
Sites, in units of the cell vectors:
Th (0.0096, 0.0096, 0.2176)  2 Os 2.84, 1 Ir 2.88
Th (0.3217, 0.3217, 0.4433)  3 Ir 2.84-2.85
Th (0.3463, 0.3463, 0.8888)  1 Os 2.82, 2 Ir 2.87
Th (0.6537, 0.6537, 0.1112)  1 Os 2.82, 2 Ir 2.87
Th (0.6783, 0.6783, 0.5567)  3 Ir 2.84-2.85
Th (0.9904, 0.9904, 0.7824)  2 Os 2.84, 1 Ir 2.88
Hg (0.1691, 0.1691, 0.8379)  6 Th 3.36-3.38
Hg (0.5000, 0.5000, 0.5000)  6 Th 3.37-3.39
Hg (0.8309, 0.8309, 0.1621)  6 Th 3.36-3.38
Ir (0.1668, 0.1668, 0.3361)  6 Th 2.84-2.88
Ir (0.8332, 0.8332, 0.6639)  6 Th 2.84-2.88
Os (0.5000, 0.5000, 0.0000)  6 Th 2.82-2.84

Density functional theory data (PBE) for crystalline YHgIr2Os at its relaxed geometry.

Values from the calculation:
Space group = P4/mmm
V = 121.09 Å³ per cell
Calculated formation energy = 0.8058 eV/atom

Unit cell a=4.7625 b=4.7625 c=5.3389 alpha=90.00 beta=90.00 gamma=90.00
Closest atoms and distances in Å follow each position.
Sites, in units of the cell vectors:
Y (0.0000, 0.0000, 0.0000)  2 Os 2.67
Hg (0.5000, 0.5000, 0.0000)  4 Y 3.37, 8 Ir 3.58
Ir (0.0000, 0.5000, 0.5000)  2 Os 2.38
Ir (0.5000, 0.0000, 0.5000)  2 Os 2.38
Os (0.0000, 0.0000, 0.5000)  4 Ir 2.38

Total energy list, top to bottom, in eV/atom: -7.289 -7.114 -6.693 -3.036 -6.721 -6.338